First-principles (GGA-PBEsol) data for crystalline LuTlRh2 at its relaxed geometry, as listed in Alexandria.

The calculation puts the density of states at the Fermi level at 0.233 states/eV per atom. Its total DFT energy (no corrections) is -104.8 eV for the cell shown. As for the formation enthalpy at 0 K: -2.425 eV per formula unit.

a b c (Å): 6.5052 6.5052 6.5052
angles (deg): 90.00 90.00 90.00
Closest atoms and distances in Å follow each position.
Space group Fm-3m (No. 225)
One atom of each set of equivalent atoms:
Lu 0.0000 0.0000 0.0000 x4  8 Rh 2.82
Tl 0.0000 0.0000 0.5000 x4  8 Rh 2.82
Rh 0.2500 0.2500 0.2500 x8  4 Tl 2.82, 4 Lu 2.82



First-principles (GGA-PBEsol) data for crystalline NiAs2Rh at its relaxed geometry, as listed in Alexandria.

The calculation puts the density of states at the Fermi level at 0.643 states/eV per atom. Its total DFT energy (no corrections) is -25.5 eV for the cell shown. As for the formation enthalpy at 0 K: -0.953 eV per formula unit.

a b c (Å): 3.3570 3.3570 5.1136
angles (deg): 90.00 90.00 90.00
Closest atoms and distances in Å follow each position.
Space group P4mm (No. 99)
One atom of each set of equivalent atoms:
Ni 0.0000 0.0000 0.0000 x1  6 As 2.48-2.63
As 0.0000 0.0000 0.4848 x1  2 Ni 2.48-2.63, 4 Rh 2.51
As 0.5000 0.5000 0.8588 x1  1 Rh 2.40, 4 Ni 2.48
Rh 0.5000 0.5000 0.3275 x1  5 As 2.40-2.51



First-principles (GGA-PBEsol) data for crystalline CsPH2O4 at its relaxed geometry, as listed in Alexandria.

The calculation puts the density of states at the Fermi level at 0.000 states/eV per atom. Its total DFT energy (no corrections) is -98.7 eV for the cell shown.

a b c (Å): 4.8715 6.2546 7.8072
angles (deg): 90.00 105.26 90.00
Closest atoms and distances in Å follow each position.
Space group P2_1/m (No. 11)
One atom of each set of equivalent atoms:
Cs 0.2217 0.2500 0.2672 x2  10 O 3.11-3.41, 4 H 3.18-3.21
P 0.2985 0.2500 0.7657 x2  4 O 1.52-1.57
H 0.1818 0.7500 0.3476 x2  1 O 1.05
H 0.5000 0.0000 0.0000 x2  2 O 1.20
O 0.0098 0.2500 0.6159 x2  1 H 1.05
O 0.2988 0.0461 0.8794 x4  1 H 1.20
O 0.4667 0.7500 0.3289 x2  1 H 1.43, 1 P 1.52



First-principles (GGA-PBEsol) data for crystalline LiLaTa2 at its relaxed geometry, as listed in Alexandria.

The offset from the most stable computed form is 328 meV/atom. The calculation puts the density of states at the Fermi level at 1.129 states/eV per atom. Its total DFT energy (no corrections) is -59.5 eV for the cell shown. As for the formation enthalpy at 0 K: 2.690 eV per formula unit.

a b c (Å): 5.7142 10.2609 2.7677
angles (deg): 90.00 90.00 90.00
Closest atoms and distances in Å follow each position.
Space group Cmmm (No. 65)
One atom of each set of equivalent atoms:
Li 0.0000 0.0000 0.0000 x2  2 Li 2.77, 2 La 2.86
La 0.0000 0.5000 0.0000 x2  2 La 2.77, 2 Li 2.86
Ta 0.2500 0.2500 0.5000 x4  4 Ta 2.77-2.86